BeMoSe2F: relaxed, PBE with a Hubbard U.

Summary:
Symmetry   P4/mmm, No. 123

Lattice parameters (Å, degrees): 5.4996 5.4996 3.0433 90.00 90.00 90.00
Last column: nearest neighbours and their distance in Å.
Atoms (fractional coordinates):
1 Be 0.0000 0.0000 0.0000  2 F 1.52
2 Mo 0.5000 0.5000 0.0000  2 Mo 3.04, 8 Se 3.14
3 Se 0.0000 0.5000 0.5000  2 F 2.75, 2 Se 3.04
4 Se 0.5000 0.0000 0.5000  2 F 2.75, 2 Se 3.04
5 F 0.0000 0.0000 0.5000  2 Be 1.52



SrNb2VF: relaxed, PBE with a Hubbard U.

Summary:
Symmetry   P4/mmm, No. 123

Lattice parameters (Å, degrees): 5.1992 5.1992 5.4057 90.00 90.00 90.00
Last column: nearest neighbours and their distance in Å.
Atoms (fractional coordinates):
1 Sr 0.0000 0.0000 0.0000  4 Nb 2.60, 2 V 2.70
2 Nb 0.0000 0.5000 0.0000  2 Sr 2.60
3 Nb 0.5000 0.0000 0.0000  2 Sr 2.60
4 V 0.0000 0.0000 0.5000  2 Sr 2.70
5 F 0.5000 0.5000 0.5000  4 V 3.68, 8 Nb 3.75



no.,theoretical density (g/cm³),VASP energy (eV/cell)
1,5.08,-20.7
2,3.90,-18.4